# CoBrCl2

A relaxed CoBrCl2 crystal (PBE, the Alexandria database).

Calculated values
formation energy without anion corrections: 0.42 eV per atom
size of the total moment: 2.24 μB per formula unit
N(E_F): 5.353 states/eV per cell
distance to the lowest polymorph of the same formula: 0.840 eV/atom
space group: Pmmm

a b c (Å): 3.6197 6.8747 3.8936
angles (deg): 90.00 90.00 90.00
With the nearest neighbours (Å) after each atom.
Fractional positions:
Cl1 0.5000 0.5000 0.0000  4 Br 2.66
Cl2 0.0000 0.0000 0.0000  4 Co 2.66
Br1 0.0000 0.5000 0.5000  4 Cl 2.66
Co1 0.5000 0.0000 0.5000  4 Cl 2.66